[1]
Density functional theory data (PBE) for Ca2BeMo after structural relaxation.

Unit cell a=6.092 b=6.092 c=6.092 alpha=147.90 beta=130.91 gamma=59.87
Fractional positions:
Ca 0.000 0.000 0.000
Ca 0.708 0.208 0.500
Be 0.452 0.452 0.000
Mo 0.300 0.800 0.500

Calculated values
As for the space group: Imm2, No. 44. For the formation energy, the calculation gives 0.59 eV per atom.

[2]
Density functional theory data (PBE) for CaBeMo4 after structural relaxation.

Unit cell a=5.342 b=5.342 c=5.342 alpha=60.00 beta=60.00 gamma=60.00
Fractional positions:
Ca 0.000 0.000 0.000
Be 0.250 0.250 0.250
Mo 0.126 0.625 0.625
Mo 0.625 0.126 0.625
Mo 0.625 0.625 0.126
Mo 0.625 0.625 0.625

Calculated values
As for the space group: F-43m, No. 216. For the formation energy, the calculation gives 0.68 eV per atom.

[3]
Density functional theory data (PBE) for CaBeMo2 after structural relaxation.

Unit cell a=5.955 b=5.955 c=4.787 alpha=113.59 beta=113.59 gamma=25.85
Fractional positions:
Ca 0.000 0.000 0.000
Be 0.500 0.500 0.500
Mo 0.199 0.199 0.699
Mo 0.801 0.801 0.301

Calculated values
As for the space group: C2/m, No. 12. For the formation energy, the calculation gives 0.52 eV per atom.

[4]
Density functional theory data (PBE) for CaBeMo2 after structural relaxation.

Unit cell a=5.409 b=5.409 c=2.653 alpha=90.00 beta=90.00 gamma=119.44
Fractional positions:
Ca 0.000 0.000 0.000
Be 0.500 0.500 0.000
Mo 0.000 0.500 0.500
Mo 0.500 0.000 0.500

Calculated values
As for the space group: Cmmm, No. 65. For the formation energy, the calculation gives 0.82 eV per atom.

[5]
Density functional theory data (PBE) for CaBeMo2 after structural relaxation.

Unit cell a=2.933 b=4.819 c=4.937 alpha=90.00 beta=96.58 gamma=90.00
Fractional positions:
Ca 0.000 0.000 0.000
Be 0.500 0.000 0.500
Mo 0.375 0.500 0.737
Mo 0.625 0.500 0.263

Calculated values
As for the space group: P2/m, No. 10. For the formation energy, the calculation gives 0.70 eV per atom.

[6]
Density functional theory data (PBE) for CaBeMo2 after structural relaxation.

Unit cell a=5.401 b=5.401 c=5.401 alpha=138.43 beta=138.43 gamma=60.24
Fractional positions:
Ca 0.000 0.000 0.000
Be 0.500 0.500 0.000
Mo 0.250 0.750 0.500
Mo 0.750 0.250 0.500

Calculated values
As for the space group: I4/mmm, No. 139. For the formation energy, the calculation gives 0.77 eV per atom.

[7]
Density functional theory data (PBE) for CaBeMo2 after structural relaxation.

Unit cell a=9.547 b=9.547 c=9.547 alpha=153.88 beta=153.88 gamma=37.28
Fractional positions:
Ca 0.000 0.000 0.000
Ca 0.750 0.250 0.500
Be 0.250 0.750 0.500
Be 0.500 0.500 0.000
Mo 0.277 0.125 0.652
Mo 0.375 0.723 0.848
Mo 0.473 0.625 0.348
Mo 0.875 0.527 0.152

Calculated values
As for the space group: I-42d, No. 122. For the formation energy, the calculation gives 1.04 eV per atom.

[8]
Density functional theory data (PBE) for Ca2BeMo after structural relaxation.

Unit cell a=6.314 b=6.314 c=6.314 alpha=101.57 beta=101.57 gamma=126.79
Fractional positions:
Ca 0.089 0.625 0.964
Ca 0.375 0.339 0.464
Ca 0.661 0.125 0.036
Ca 0.875 0.911 0.536
Be 0.000 0.000 0.000
Be 0.750 0.250 0.500
Mo 0.250 0.750 0.500
Mo 0.500 0.500 0.000

Calculated values
As for the space group: I-42d, No. 122. For the formation energy, the calculation gives 1.07 eV per atom.

[9]
Density functional theory data (PBE) for Ca2BeMo after structural relaxation.

Unit cell a=8.740 b=8.740 c=8.740 alpha=157.78 beta=157.45 gamma=31.86
Fractional positions:
Ca 0.151 0.151 0.000
Ca 0.849 0.849 0.000
Be 0.000 0.500 0.500
Mo 0.500 0.000 0.500

Calculated values
As for the space group: Immm, No. 71. For the formation energy, the calculation gives 0.44 eV per atom.

[10]
Density functional theory data (PBE) for CaBeMo2 after structural relaxation.

Unit cell a=5.570 b=5.570 c=2.694 alpha=99.52 beta=99.52 gamma=121.19
Fractional positions:
Ca 0.000 0.000 0.000
Be 0.500 0.500 0.000
Mo 0.000 0.500 0.500
Mo 0.500 0.000 0.500

Calculated values
As for the space group: C2/m, No. 12. For the formation energy, the calculation gives 0.76 eV per atom.

[11]
Density functional theory data (PBE) for Ca2BeMo after structural relaxation.

Unit cell a=4.225 b=4.225 c=4.638 alpha=90.00 beta=90.00 gamma=90.00
Fractional positions:
Ca 0.000 0.500 0.000
Ca 0.500 0.000 0.000
Be 0.000 0.000 0.500
Mo 0.500 0.500 0.500

Calculated values
As for the space group: P4/mmm, No. 123. For the formation energy, the calculation gives 0.89 eV per atom.

[12]
Density functional theory data (PBE) for CaBe3Mo after structural relaxation.

Unit cell a=4.325 b=4.325 c=4.325 alpha=90.00 beta=90.00 gamma=90.00
Fractional positions:
Ca 0.000 0.000 0.000
Be 0.000 0.000 0.500
Be 0.000 0.500 0.000
Be 0.500 0.000 0.000
Mo 0.500 0.500 0.500

Calculated values
As for the space group: Pm-3m, No. 221. For the formation energy, the calculation gives 2.31 eV per atom. The relative energy among the computed polymorphs is 1.624 eV per atom.

[13]
Density functional theory data (PBE) for CaBeMo2 after structural relaxation.

Unit cell a=3.827 b=3.827 c=4.655 alpha=90.00 beta=90.00 gamma=90.00
Fractional positions:
Ca 0.000 0.000 0.000
Be 0.500 0.500 0.000
Mo 0.000 0.500 0.500
Mo 0.500 0.000 0.500

Calculated values
As for the space group: P4/mmm, No. 123. For the formation energy, the calculation gives 0.73 eV per atom.

[14]
Density functional theory data (PBE) for Ca2BeNbMo after structural relaxation.

Unit cell a=4.906 b=4.906 c=4.761 alpha=90.00 beta=90.00 gamma=90.00
Fractional positions:
Ca 0.000 0.500 0.000
Ca 0.500 0.000 0.000
Be 0.000 0.000 0.000
Nb 0.000 0.000 0.500
Mo 0.500 0.500 0.500

Calculated values
As for the space group: P4/mmm, No. 123. For the formation energy, the calculation gives 1.32 eV per atom.

The evaluated total magnetization for the records listed, in turn: 1.35 0.00 0.00 0.00 0.00 0.00 0.00 3.98 0.00 0.00 0.53 1.15 0.00 0.00 μB per cell.
The evaluated N(E_F) for the records listed, in turn: 3.5 6.3 3.0 4.1 2.2 3.3 7.4 6.0 4.1 3.7 4.2 5.6 3.2 10.1 states/eV/cell.